# Nd2Al8Ni PBE optimized geometry
# energy: -49.500 eV per cell
# symmetry: P4/mmm, No. 123
# mass density: 4.4 g/cm3
# volume: 210.65 Å³ per cell
data_Nd2Al8Ni
_chemical_formula_sum 'Nd2 Al8 Ni1'
_symmetry_space_group_name_H-M 'P 1'
_symmetry_Int_Tables_number 1
_symmetry_space_group_name_Hall 'P 1'
_cell_length_a 4.3116
_cell_length_b 4.3116
_cell_length_c 11.3313
_cell_angle_alpha 90.00
_cell_angle_beta 90.00
_cell_angle_gamma 90.00
loop_
_atom_site_label
_atom_site_type_symbol
_atom_site_fract_x
_atom_site_fract_y
_atom_site_fract_z
Al1 Al 0.5000 0.0000 0.1162
Al2 Al 0.0000 0.5000 0.1162
Al3 Al 0.5000 0.5000 0.3013
Al4 Al 0.5000 0.0000 0.5000
Al5 Al 0.0000 0.5000 0.5000
Al6 Al 0.5000 0.5000 0.6987
Al7 Al 0.5000 0.0000 0.8838
Al8 Al 0.0000 0.5000 0.8838
Nd1 Nd 0.0000 0.0000 0.3072
Nd2 Nd 0.0000 0.0000 0.6928
Ni1 Ni 0.0000 0.0000 0.0000